# GGA+U Li4Mn5Fe2O12, relaxed
# - Mass density: 4.32 g/cm3
# - VASP energy: -308.98 eV/cell
data_Li4Mn5Fe2O12
_space_group_name_H-M_alt 'P 1 21 1'
_space_group_IT_number 4
_cell_length_a 5.151
_cell_length_b 9.229
_cell_length_c 10.049
_cell_angle_alpha 90.00
_cell_angle_beta 102.75
_cell_angle_gamma 90.00
loop_
_space_group_symop_operation_xyz
'x,y,z'
'-x,y+1/2,-z'
loop_
_atom_site_label
_atom_site_fract_x
_atom_site_fract_y
_atom_site_fract_z
Li1 0.002 0.000 0.255
Li2 0.009 0.152 0.732
Li3 0.266 0.147 0.486
Li4 0.498 0.984 0.737
Mn1 0.014 0.318 0.257
Mn2 0.240 0.984 0.991
Mn3 0.245 0.494 0.512
Mn4 0.261 0.648 0.012
Mn5 0.499 0.815 0.259
Fe1 0.257 0.313 0.006
Fe2 0.263 0.815 0.515
O1 0.100 0.673 0.627
O2 0.103 0.137 0.096
O3 0.110 0.472 0.134
O4 0.118 0.983 0.606
O5 0.142 0.340 0.629
O6 0.151 0.803 0.127
O7 0.339 0.832 0.878
O8 0.351 0.651 0.400
O9 0.370 0.330 0.376
O10 0.385 0.490 0.909
O11 0.386 0.958 0.378
O12 0.391 0.164 0.861